Below is SbPIN2 at its PBEsol-relaxed geometry, with properties calculated at the meta-GGA SCAN level.

Values from the calculation:
formation energy from raw total energies	1664	meV per atom
theoretical density	6.370	g cm⁻³
crystal system	tetragonal

Structure (extended XYZ):
```
5
Lattice="3.977 0.000 0.000 0.000 3.977 0.000 0.000 0.000 5.071" Properties=species:S:1:pos:R:3 pbc="T T T"
Sb 0.000 0.000 0.000
P 1.988 1.988 2.535
I 1.988 1.988 0.000
N 0.000 1.988 2.535
N 1.988 0.000 2.535
```